Record 1
# Tb2MnIn | Alexandria | PBE-GGA | optimized geometry
# E_tot	-5.3926	eV per atom
# size of the total moment	3.14	μB per formula unit
data_Tb2MnIn
_chemical_formula_sum 'Tb2 Mn1 In1'
_cell_length_a 4.8437
_cell_length_b 4.8437
_cell_length_c 4.2215
_cell_angle_alpha 90.00
_cell_angle_beta 90.00
_cell_angle_gamma 90.00
_symmetry_space_group_name_H-M 'P 1'
_symmetry_Int_Tables_number 1
_symmetry_space_group_name_Hall 'P 1'
loop_
_atom_site_label
_atom_site_fract_x
_atom_site_fract_y
_atom_site_fract_z
_atom_site_occupancy
Tb1 0.0000 0.5000 0.0000 1
Tb2 0.5000 0.0000 0.0000 1
Mn1 0.0000 0.0000 0.5000 1
In1 0.5000 0.5000 0.5000 1

=====

Record 2
# TbTmMnIn | Alexandria | PBE-GGA | optimized geometry
# E_tot	-5.3497	eV per atom
# size of the total moment	3.39	μB per formula unit
data_TbTmMnIn
_chemical_formula_sum 'Tb4 Tm4 Mn4 In4'
_cell_length_a 7.3179
_cell_length_b 7.3179
_cell_length_c 7.3179
_cell_angle_alpha 90.00
_cell_angle_beta 90.00
_cell_angle_gamma 90.00
_symmetry_space_group_name_H-M 'P 1'
_symmetry_Int_Tables_number 1
_symmetry_space_group_name_Hall 'P 1'
loop_
_atom_site_label
_atom_site_fract_x
_atom_site_fract_y
_atom_site_fract_z
_atom_site_occupancy
Tb1 0.0000 0.0000 0.0000 1
Tb2 0.0000 0.5000 0.5000 1
Tb3 0.5000 0.0000 0.5000 1
Tb4 0.5000 0.5000 0.0000 1
Tm1 0.0000 0.0000 0.5000 1
Tm2 0.0000 0.5000 0.0000 1
Tm3 0.5000 0.0000 0.0000 1
Tm4 0.5000 0.5000 0.5000 1
Mn1 0.2500 0.2500 0.7500 1
Mn2 0.2500 0.7500 0.2500 1
Mn3 0.7500 0.2500 0.2500 1
Mn4 0.7500 0.7500 0.7500 1
In1 0.2500 0.2500 0.2500 1
In2 0.2500 0.7500 0.7500 1
In3 0.7500 0.2500 0.7500 1
In4 0.7500 0.7500 0.2500 1

=====

Record 3
# TbYMnIn | Alexandria | PBE-GGA | optimized geometry
# E_tot	-5.8577	eV per atom
# size of the total moment	3.42	μB per formula unit
data_TbYMnIn
_chemical_formula_sum 'Tb4 Y4 Mn4 In4'
_cell_length_a 7.3803
_cell_length_b 7.3803
_cell_length_c 7.3803
_cell_angle_alpha 90.00
_cell_angle_beta 90.00
_cell_angle_gamma 90.00
_symmetry_space_group_name_H-M 'P 1'
_symmetry_Int_Tables_number 1
_symmetry_space_group_name_Hall 'P 1'
loop_
_atom_site_label
_atom_site_fract_x
_atom_site_fract_y
_atom_site_fract_z
_atom_site_occupancy
Tb1 0.0000 0.0000 0.0000 1
Tb2 0.0000 0.5000 0.5000 1
Tb3 0.5000 0.0000 0.5000 1
Tb4 0.5000 0.5000 0.0000 1
Y1 0.0000 0.0000 0.5000 1
Y2 0.0000 0.5000 0.0000 1
Y3 0.5000 0.0000 0.0000 1
Y4 0.5000 0.5000 0.5000 1
Mn1 0.2500 0.2500 0.2500 1
Mn2 0.2500 0.7500 0.7500 1
Mn3 0.7500 0.2500 0.7500 1
Mn4 0.7500 0.7500 0.2500 1
In1 0.2500 0.2500 0.7500 1
In2 0.2500 0.7500 0.2500 1
In3 0.7500 0.2500 0.2500 1
In4 0.7500 0.7500 0.7500 1

=====

Record 4
# MnInTc2 | Alexandria | PBE-GGA | optimized geometry
# E_tot	-7.9309	eV per atom
# size of the total moment	2.54	μB per formula unit
data_MnInTc2
_chemical_formula_sum 'Mn2 In2 Tc4'
_cell_length_a 3.2397
_cell_length_b 4.4342
_cell_length_c 8.7133
_cell_angle_alpha 90.00
_cell_angle_beta 90.00
_cell_angle_gamma 90.00
_symmetry_space_group_name_H-M 'P 1'
_symmetry_Int_Tables_number 1
_symmetry_space_group_name_Hall 'P 1'
loop_
_atom_site_label
_atom_site_fract_x
_atom_site_fract_y
_atom_site_fract_z
_atom_site_occupancy
Mn1 0.0000 0.0000 0.0000 1
Mn2 0.5000 0.5000 0.5000 1
In1 0.0000 0.5000 0.2414 1
In2 0.5000 0.0000 0.7414 1
Tc1 0.0000 0.0000 0.4763 1
Tc2 0.0000 0.5000 0.7398 1
Tc3 0.5000 0.0000 0.2398 1
Tc4 0.5000 0.5000 0.9763 1

=====

Record 5
# MnInTc2 | Alexandria | PBE-GGA | optimized geometry
# E_tot	-7.5558	eV per atom
# size of the total moment	0.00	μB per formula unit
data_MnInTc2
_chemical_formula_sum 'Mn4 In4 Tc8'
_cell_length_a 7.1501
_cell_length_b 7.1501
_cell_length_c 5.2100
_cell_angle_alpha 90.00
_cell_angle_beta 90.00
_cell_angle_gamma 90.00
_symmetry_space_group_name_H-M 'P 1'
_symmetry_Int_Tables_number 1
_symmetry_space_group_name_Hall 'P 1'
loop_
_atom_site_label
_atom_site_fract_x
_atom_site_fract_y
_atom_site_fract_z
_atom_site_occupancy
Mn1 0.0000 0.0000 0.0000 1
Mn2 0.0000 0.5000 0.2500 1
Mn3 0.5000 0.0000 0.7500 1
Mn4 0.5000 0.5000 0.5000 1
In1 0.0000 0.0000 0.5000 1
In2 0.0000 0.5000 0.7500 1
In3 0.5000 0.0000 0.2500 1
In4 0.5000 0.5000 0.0000 1
Tc1 0.1819 0.2500 0.1250 1
Tc2 0.2500 0.6819 0.3750 1
Tc3 0.2500 0.8181 0.8750 1
Tc4 0.3181 0.2500 0.6250 1
Tc5 0.6819 0.7500 0.6250 1
Tc6 0.7500 0.1819 0.8750 1
Tc7 0.7500 0.3181 0.3750 1
Tc8 0.8181 0.7500 0.1250 1

=====

Record 6
# MnInTc2 | Alexandria | PBE-GGA | optimized geometry
# E_tot	-7.9656	eV per atom
# size of the total moment	3.55	μB per formula unit
data_MnInTc2
_chemical_formula_sum 'Mn1 In1 Tc2'
_cell_length_a 2.9550
_cell_length_b 3.7265
_cell_length_c 5.7827
_cell_angle_alpha 90.00
_cell_angle_beta 90.08
_cell_angle_gamma 90.00
_symmetry_space_group_name_H-M 'P 1'
_symmetry_Int_Tables_number 1
_symmetry_space_group_name_Hall 'P 1'
loop_
_atom_site_label
_atom_site_fract_x
_atom_site_fract_y
_atom_site_fract_z
_atom_site_occupancy
Mn1 0.0000 0.0000 0.0000 1
In1 0.5005 0.5000 0.2672 1
Tc1 0.0011 0.0000 0.5584 1
Tc2 0.4997 0.5000 0.7685 1

=====

Record 7
# Mn2InTc2 | Alexandria | PBE-GGA | optimized geometry
# E_tot	-8.0696	eV per atom
# energy relative to the lowest polymorph listed for this composition	57.9	meV/atom
# size of the total moment	1.94	μB per formula unit
data_Mn2InTc2
_chemical_formula_sum 'Mn4 In2 Tc4'
_cell_length_a 7.3971
_cell_length_b 7.3971
_cell_length_c 2.7407
_cell_angle_alpha 90.00
_cell_angle_beta 90.00
_cell_angle_gamma 90.00
_symmetry_space_group_name_H-M 'P 1'
_symmetry_Int_Tables_number 1
_symmetry_space_group_name_Hall 'P 1'
loop_
_atom_site_label
_atom_site_fract_x
_atom_site_fract_y
_atom_site_fract_z
_atom_site_occupancy
Mn1 0.1630 0.3370 0.0000 1
Mn2 0.3370 0.8370 0.0000 1
Mn3 0.6630 0.1630 0.0000 1
Mn4 0.8370 0.6630 0.0000 1
In1 0.0000 0.0000 0.5000 1
In2 0.5000 0.5000 0.5000 1
Tc1 0.1254 0.6254 0.5000 1
Tc2 0.3746 0.1254 0.5000 1
Tc3 0.6254 0.8746 0.5000 1
Tc4 0.8746 0.3746 0.5000 1

=====

Record 8
# Mn2InTc | Alexandria | PBE-GGA | optimized geometry
# E_tot	-7.5265	eV per atom
# size of the total moment	5.64	μB per formula unit
data_Mn2InTc
_chemical_formula_sum 'Mn4 In2 Tc2'
_cell_length_a 8.7516
_cell_length_b 2.9223
_cell_length_c 4.9883
_cell_angle_alpha 90.00
_cell_angle_beta 99.30
_cell_angle_gamma 90.00
_symmetry_space_group_name_H-M 'P 1'
_symmetry_Int_Tables_number 1
_symmetry_space_group_name_Hall 'P 1'
loop_
_atom_site_label
_atom_site_fract_x
_atom_site_fract_y
_atom_site_fract_z
_atom_site_occupancy
Mn1 0.2460 0.0000 0.2223 1
Mn2 0.2540 0.5000 0.7777 1
Mn3 0.7460 0.5000 0.2223 1
Mn4 0.7540 0.0000 0.7777 1
In1 0.0000 0.0000 0.5000 1
In2 0.5000 0.5000 0.5000 1
Tc1 0.0000 0.5000 0.0000 1
Tc2 0.5000 0.0000 0.0000 1

=====

Record 9
# Mn2InTc | Alexandria | PBE-GGA | optimized geometry
# E_tot	-7.5175	eV per atom
# size of the total moment	5.91	μB per formula unit
data_Mn2InTc
_chemical_formula_sum 'Mn6 In3 Tc3'
_cell_length_a 2.9124
_cell_length_b 2.9124
_cell_length_c 26.0522
_cell_angle_alpha 90.00
_cell_angle_beta 90.00
_cell_angle_gamma 120.00
_symmetry_space_group_name_H-M 'P 1'
_symmetry_Int_Tables_number 1
_symmetry_space_group_name_Hall 'P 1'
loop_
_atom_site_label
_atom_site_fract_x
_atom_site_fract_y
_atom_site_fract_z
_atom_site_occupancy
Mn1 0.0000 0.0000 0.2427 1
Mn2 0.0000 0.0000 0.7573 1
Mn3 0.3333 0.6667 0.4239 1
Mn4 0.3333 0.6667 0.9094 1
Mn5 0.6667 0.3333 0.0906 1
Mn6 0.6667 0.3333 0.5761 1
In1 0.0000 0.0000 0.0000 1
In2 0.3333 0.6667 0.6667 1
In3 0.6667 0.3333 0.3333 1
Tc1 0.0000 0.0000 0.5000 1
Tc2 0.3333 0.6667 0.1667 1
Tc3 0.6667 0.3333 0.8333 1

=====

Record 10
# MnInTc2 | Alexandria | PBE-GGA | optimized geometry
# E_tot	-7.9107	eV per atom
# size of the total moment	2.19	μB per formula unit
data_MnInTc2
_chemical_formula_sum 'Mn2 In2 Tc4'
_cell_length_a 3.0591
_cell_length_b 4.4792
_cell_length_c 9.0354
_cell_angle_alpha 90.00
_cell_angle_beta 90.00
_cell_angle_gamma 90.00
_symmetry_space_group_name_H-M 'P 1'
_symmetry_Int_Tables_number 1
_symmetry_space_group_name_Hall 'P 1'
loop_
_atom_site_label
_atom_site_fract_x
_atom_site_fract_y
_atom_site_fract_z
_atom_site_occupancy
Mn1 0.0000 0.0000 0.0000 1
Mn2 0.5000 0.5000 0.5000 1
In1 0.0000 0.0000 0.5000 1
In2 0.5000 0.5000 0.0000 1
Tc1 0.0000 0.5000 0.2692 1
Tc2 0.0000 0.5000 0.7308 1
Tc3 0.5000 0.0000 0.2308 1
Tc4 0.5000 0.0000 0.7692 1

=====

Record 11
# Mn3InTc | Alexandria | PBE-GGA | optimized geometry
# E_tot	-7.0632	eV per atom
# energy relative to the lowest polymorph listed for this composition	0.0	meV/atom
# size of the total moment	9.06	μB per formula unit
data_Mn3InTc
_chemical_formula_sum 'Mn3 In1 Tc1'
_cell_length_a 4.6346
_cell_length_b 4.6346
_cell_length_c 4.6346
_cell_angle_alpha 90.00
_cell_angle_beta 90.00
_cell_angle_gamma 90.00
_symmetry_space_group_name_H-M 'P 1'
_symmetry_Int_Tables_number 1
_symmetry_space_group_name_Hall 'P 1'
loop_
_atom_site_label
_atom_site_fract_x
_atom_site_fract_y
_atom_site_fract_z
_atom_site_occupancy
Mn1 0.0000 0.0000 0.5000 1
Mn2 0.0000 0.5000 0.0000 1
Mn3 0.5000 0.0000 0.0000 1
In1 0.5000 0.5000 0.5000 1
Tc1 0.0000 0.0000 0.0000 1

=====

Record 12
# Mn2InTc | Alexandria | PBE-GGA | optimized geometry
# E_tot	-7.5631	eV per atom
# size of the total moment	4.92	μB per formula unit
data_Mn2InTc
_chemical_formula_sum 'Mn4 In2 Tc2'
_cell_length_a 4.1194
_cell_length_b 4.1194
_cell_length_c 7.0918
_cell_angle_alpha 90.00
_cell_angle_beta 90.00
_cell_angle_gamma 90.00
_symmetry_space_group_name_H-M 'P 1'
_symmetry_Int_Tables_number 1
_symmetry_space_group_name_Hall 'P 1'
loop_
_atom_site_label
_atom_site_fract_x
_atom_site_fract_y
_atom_site_fract_z
_atom_site_occupancy
Mn1 0.0000 0.0000 0.0000 1
Mn2 0.0000 0.5000 0.2500 1
Mn3 0.5000 0.0000 0.7500 1
Mn4 0.5000 0.5000 0.5000 1
In1 0.0000 0.0000 0.5000 1
In2 0.5000 0.5000 0.0000 1
Tc1 0.0000 0.5000 0.7500 1
Tc2 0.5000 0.0000 0.2500 1